Here is crystalline BRh3Pb at its relaxed geometry from the Alexandria database. Energies are from GGA-PBE.

volume	148	Å³ per cell
excess energy over the best structure of this formula in the dataset	0	meV/atom
magnetization	0.00	μB per formula unit

a = 5.8762 Å, b = 5.8762 Å, c = 4.2856 Å
α = 90.00°, β = 90.00°, γ = 90.00°
Fractional coordinates of all 10 atoms:
B  0.0000  0.0000  0.0000
B  0.5000  0.5000  0.0000
Rh  0.0000  0.0000  0.5000
Rh  0.2062  0.2938  0.0000
Rh  0.2938  0.7938  0.0000
Rh  0.5000  0.5000  0.5000
Rh  0.7062  0.2062  0.0000
Rh  0.7938  0.7062  0.0000
Pb  0.0000  0.5000  0.5000
Pb  0.5000  0.0000  0.5000